[1]
Below is crystalline Hf2ZnW at its relaxed geometry, with properties calculated at the PBE-GGA level.

The structure belongs to space group R-3m (No. 166, hexagonal axes); the cell edges are 2.9515, 2.9515 and 30.7635 Å and the angles 90.00°, 90.00° and 120.00°. The asymmetric unit holds Hf at (0.0000, 0.0000, 0.0889), Zn at (0.0000, 0.0000, 0.5000) and W at (0.0000, 0.0000, 0.0000).

The mass density is 13.012 Mg/m³. The formation energy is 0.432 eV per atom. The total moment comes out at 0.0 μB per formula unit.

***

[2]
Below is crystalline HfZn3W at its relaxed geometry, with properties calculated at the PBE-GGA level.

The structure belongs to space group Pm-3m (No. 221); the cell edges are 4.7231, 4.7231 and 4.7231 Å and the angles 90.00°, 90.00° and 90.00°. The asymmetric unit holds Hf at (0.0000, 0.0000, 0.0000), Zn at (0.0000, 0.5000, 0.5000) and W at (0.5000, 0.5000, 0.5000).

The mass density is 8.803 Mg/m³. The formation energy is 1.106 eV per atom. The total moment comes out at 0.0 μB per formula unit.

***

[3]
Below is crystalline Hf3ZnW at its relaxed geometry, with properties calculated at the PBE-GGA level.

The structure belongs to space group Pm-3m (No. 221); the cell edges are 5.0562, 5.0562 and 5.0562 Å and the angles 90.00°, 90.00° and 90.00°. The asymmetric unit holds Hf at (0.0000, 0.0000, 0.5000), Zn at (0.5000, 0.5000, 0.5000) and W at (0.0000, 0.0000, 0.0000).

The mass density is 10.081 Mg/m³. The formation energy is 1.009 eV per atom. The total moment comes out at 0.0 μB per formula unit.

***

[4]
Below is crystalline Hf3ZnW at its relaxed geometry, with properties calculated at the PBE-GGA level.

The structure belongs to space group Pm-3m (No. 221); the cell edges are 4.8074, 4.8074 and 4.8074 Å and the angles 90.00°, 90.00° and 90.00°. The asymmetric unit holds Hf at (0.0000, 0.0000, 0.5000), Zn at (0.0000, 0.0000, 0.0000) and W at (0.5000, 0.5000, 0.5000).

The mass density is 11.729 Mg/m³. The formation energy is 1.164 eV per atom. The total moment comes out at 0.0 μB per formula unit.

***

[5]
Below is crystalline Hf2Zn2W at its relaxed geometry, with properties calculated at the PBE-GGA level.

The structure belongs to space group P4/mbm (No. 127); the cell edges are 6.8733, 6.8733 and 3.7416 Å and the angles 90.00°, 90.00° and 90.00°. The asymmetric unit holds Hf at (0.1845, 0.3155, 0.0000), Zn at (0.1229, 0.6229, 0.5000) and W at (0.0000, 0.0000, 0.5000).

The mass density is 12.619 Mg/m³. The formation energy is 0.066 eV per atom. The total moment comes out at 0.0 μB per formula unit.

***

[6]
Below is crystalline HfZnW at its relaxed geometry, with properties calculated at the PBE-GGA level.

The structure belongs to space group C2/m (No. 12); the cell edges are 9.3086, 4.7200 and 5.9419 Å and the angles 90.00°, 126.57° and 90.00°. The asymmetric unit holds Hf at (0.0124, 0.0000, 0.2626), Zn at (0.1632, 0.5000, 0.1982) and W at (0.1584, 0.5000, 0.7194).

The mass density is 13.550 Mg/m³. The formation energy is 0.145 eV per atom. The total moment comes out at 0.0 μB per formula unit.

***

[7]
Below is crystalline Hf2ZnW at its relaxed geometry, with properties calculated at the PBE-GGA level.

The structure belongs to space group I-42d (No. 122); the cell edges are 7.4590, 7.4590 and 5.6029 Å and the angles 90.00°, 90.00° and 90.00°. The asymmetric unit holds Hf at (0.2456, 0.2500, 0.1250), Zn at (0.0000, 0.0000, 0.0000) and W at (0.0000, 0.0000, 0.5000).

The mass density is 12.917 Mg/m³. The formation energy is 0.537 eV per atom. The total moment comes out at 0.0 μB per formula unit.

***

[8]
Below is crystalline HfZn4W at its relaxed geometry, with properties calculated at the PBE-GGA level.

The structure belongs to space group F-43m (No. 216); the cell edges are 7.1293, 7.1293 and 7.1293 Å and the angles 90.00°, 90.00° and 90.00°. The asymmetric unit holds Hf at (0.0000, 0.0000, 0.0000), Zn at (0.1244, 0.1244, 0.3756) and W at (0.2500, 0.2500, 0.7500).

The mass density is 11.437 Mg/m³. The formation energy is -0.060 eV per atom. The total moment comes out at 0.0 μB per formula unit.

***

[9]
Below is crystalline Hf4Zn3W at its relaxed geometry, with properties calculated at the PBE-GGA level.

The structure belongs to space group P4/mmm (No. 123); the cell edges are 3.3520, 3.3520 and 13.0436 Å and the angles 90.00°, 90.00° and 90.00°. The asymmetric unit holds Hf at (0.0000, 0.0000, 0.1216), Hf at (0.0000, 0.0000, 0.3752), Zn at (0.5000, 0.5000, 0.2514), Zn at (0.5000, 0.5000, 0.5000) and W at (0.5000, 0.5000, 0.0000).

The mass density is 12.396 Mg/m³. The formation energy is -0.160 eV per atom. The total moment comes out at 0.0 μB per formula unit.

***

[10]
Below is crystalline Hf6Zn5W at its relaxed geometry, with properties calculated at the PBE-GGA level.

The structure belongs to space group Cmmm (No. 65); the cell edges are 4.7031, 14.0709 and 6.6066 Å and the angles 90.00°, 90.00° and 90.00°. The asymmetric unit holds Hf at (0.0000, 0.0000, 0.2491), Hf at (0.0000, 0.3347, 0.2477), Zn at (0.0000, 0.1642, 0.0000), Zn at (0.0000, 0.1688, 0.5000), Zn at (0.0000, 0.5000, 0.5000) and W at (0.0000, 0.5000, 0.0000).

The mass density is 12.016 Mg/m³. The formation energy is -0.184 eV per atom. The total moment comes out at 0.0 μB per formula unit.

***

[11]
Below is crystalline HfZn3W at its relaxed geometry, with properties calculated at the PBE-GGA level.

The structure belongs to space group Pm-3m (No. 221); the cell edges are 4.9739, 4.9739 and 4.9739 Å and the angles 90.00°, 90.00° and 90.00°. The asymmetric unit holds Hf at (0.0000, 0.0000, 0.0000), Zn at (0.0000, 0.0000, 0.5000) and W at (0.5000, 0.5000, 0.5000).

The mass density is 7.538 Mg/m³. The formation energy is 1.956 eV per atom. The total moment comes out at 2.8 μB per formula unit.

***

[12]
Below is crystalline Hf2ZrW at its relaxed geometry, with properties calculated at the PBE-GGA level.

The structure belongs to space group P4/mmm (No. 123); the cell edges are 3.3673, 3.3673 and 7.2883 Å and the angles 90.00°, 90.00° and 90.00°. The asymmetric unit holds Hf at (0.0000, 0.0000, 0.2173), Zr at (0.5000, 0.5000, 0.5000) and W at (0.5000, 0.5000, 0.0000).

The mass density is 12.700 Mg/m³. The formation energy is 0.086 eV per atom. The total moment comes out at 0.0 μB per formula unit.

***

[13]
Below is crystalline Hf3ZrW at its relaxed geometry, with properties calculated at the PBE-GGA level.

The structure belongs to space group Pm-3m (No. 221); the cell edges are 5.0380, 5.0380 and 5.0380 Å and the angles 90.00°, 90.00° and 90.00°. The asymmetric unit holds Hf at (0.0000, 0.0000, 0.5000), Zr at (0.5000, 0.5000, 0.5000) and W at (0.0000, 0.0000, 0.0000).

The mass density is 10.526 Mg/m³. The formation energy is 0.860 eV per atom. The total moment comes out at 0.0 μB per formula unit.

***

[14]
Below is crystalline HfZrW at its relaxed geometry, with properties calculated at the PBE-GGA level.

The structure belongs to space group Amm2 (No. 38); the cell edges are 9.2480, 5.6067 and 9.4346 Å and the angles 90.00°, 90.00° and 90.00°. The asymmetric unit holds Hf at (0.1701, 0.0000, 0.0000), Hf at (0.2918, 0.0000, 0.6669), Zr at (0.2462, 0.0000, 0.3298), Zr at (0.5000, 0.2386, 0.9216), W at (0.0000, 0.0000, 0.5020), W at (0.0000, 0.2401, 0.7453) and W at (0.5000, 0.0000, 0.1670).

The mass density is 12.317 Mg/m³. The formation energy is 0.128 eV per atom. The total moment comes out at 0.0 μB per formula unit.

***

[15]
Below is crystalline Hf2ZrW at its relaxed geometry, with properties calculated at the PBE-GGA level.

The structure belongs to space group I-42d (No. 122); the cell edges are 7.6787, 7.6787 and 5.8894 Å and the angles 90.00°, 90.00° and 90.00°. The asymmetric unit holds Hf at (0.2258, 0.2500, 0.1250), Zr at (0.0000, 0.0000, 0.5000) and W at (0.0000, 0.0000, 0.0000).

The mass density is 12.090 Mg/m³. The formation energy is 0.657 eV per atom. The total moment comes out at 0.0 μB per formula unit.

***

[16]
Below is crystalline HfZrW2 at its relaxed geometry, with properties calculated at the PBE-GGA level.

The structure belongs to space group Fm-3m (No. 225); the cell edges are 6.6894, 6.6894 and 6.6894 Å and the angles 90.00°, 90.00° and 90.00°. The asymmetric unit holds Hf at (0.0000, 0.0000, 0.0000), Zr at (0.0000, 0.0000, 0.5000) and W at (0.2500, 0.2500, 0.2500).

The mass density is 14.143 Mg/m³. The formation energy is 0.212 eV per atom. The total moment comes out at 0.0 μB per formula unit.

***

[17]
Below is crystalline Hf2ZrW at its relaxed geometry, with properties calculated at the PBE-GGA level.

The structure belongs to space group Fm-3m (No. 225); the cell edges are 6.8593, 6.8593 and 6.8593 Å and the angles 90.00°, 90.00° and 90.00°. The asymmetric unit holds Hf at (0.2500, 0.2500, 0.2500), Zr at (0.0000, 0.0000, 0.0000) and W at (0.0000, 0.0000, 0.5000).

The mass density is 13.008 Mg/m³. The formation energy is 0.167 eV per atom. The total moment comes out at 0.0 μB per formula unit.

***

[18]
Below is crystalline Hf2ZrW at its relaxed geometry, with properties calculated at the PBE-GGA level.

The structure belongs to space group R-3m (No. 166, hexagonal axes); the cell edges are 3.2121, 3.2121 and 28.3093 Å and the angles 90.00°, 90.00° and 120.00°. The asymmetric unit holds Hf at (0.0000, 0.0000, 0.2405), Zr at (0.0000, 0.0000, 0.0000) and W at (0.0000, 0.0000, 0.5000).

The mass density is 12.447 Mg/m³. The formation energy is 0.268 eV per atom. The total moment comes out at 0.0 μB per formula unit.

***

[19]
Below is crystalline HfZrW4 at its relaxed geometry, with properties calculated at the PBE-GGA level.

The structure belongs to space group F-43m (No. 216); the cell edges are 7.6361, 7.6361 and 7.6361 Å and the angles 90.00°, 90.00° and 90.00°. The asymmetric unit holds Hf at (0.0000, 0.0000, 0.0000), Zr at (0.2500, 0.2500, 0.2500) and W at (0.1250, 0.1250, 0.6250).

The mass density is 14.993 Mg/m³. The formation energy is -0.160 eV per atom. The total moment comes out at 0.0 μB per formula unit.

***

[20]
Below is crystalline HfZrW2 at its relaxed geometry, with properties calculated at the PBE-GGA level.

The structure belongs to space group I-42d (No. 122); the cell edges are 7.5395, 7.5395 and 5.6284 Å and the angles 90.00°, 90.00° and 90.00°. The asymmetric unit holds Hf at (0.0000, 0.0000, 0.0000), Zr at (0.0000, 0.0000, 0.5000) and W at (0.2494, 0.2500, 0.1250).

The mass density is 13.233 Mg/m³. The formation energy is 0.874 eV per atom. The total moment comes out at 0.0 μB per formula unit.

***

[21]
Below is crystalline Y4Hf at its relaxed geometry, with properties calculated at the PBE-GGA level.

The structure belongs to space group Pm-3m (No. 221); the cell edges are 5.5806, 5.5806 and 5.5806 Å and the angles 90.00°, 90.00° and 90.00°. The asymmetric unit holds Y at (0.0000, 0.0000, 0.0000), Y at (0.0000, 0.5000, 0.5000) and Hf at (0.5000, 0.5000, 0.5000).

The mass density is 5.103 Mg/m³. The formation energy is 0.599 eV per atom. The total moment comes out at 0.0 μB per formula unit.

***

[22]
Below is crystalline Y3Hf at its relaxed geometry, with properties calculated at the PBE-GGA level.

The structure belongs to space group Pmm2 (No. 25); the cell edges are 3.4995, 5.4668 and 6.1340 Å and the angles 90.00°, 90.00° and 90.00°. The asymmetric unit holds Y at (0.0000, 0.0000, 0.0000), Y at (0.0000, 0.5000, 0.3375), Y at (0.5000, 0.5000, 0.8156) and Hf at (0.5000, 0.0000, 0.4994).

The mass density is 6.300 Mg/m³. The formation energy is 0.122 eV per atom. The total moment comes out at 0.0 μB per formula unit.

***

[23]
Below is crystalline Y3Hf at its relaxed geometry, with properties calculated at the PBE-GGA level.

The structure belongs to space group I4/mmm (No. 139); the cell edges are 4.8805, 4.8805 and 9.7098 Å and the angles 90.00°, 90.00° and 90.00°. The asymmetric unit holds Y at (0.0000, 0.0000, 0.0000), Y at (0.0000, 0.5000, 0.2500) and Hf at (0.0000, 0.0000, 0.5000).

The mass density is 6.393 Mg/m³. The formation energy is 0.155 eV per atom. The total moment comes out at 0.0 μB per formula unit.

***

[24]
Below is crystalline YHf5 at its relaxed geometry, with properties calculated at the PBE-GGA level.

The structure belongs to space group Cmmm (No. 65); the cell edges are 4.5556, 13.6988 and 4.5323 Å and the angles 90.00°, 90.00° and 90.00°. The asymmetric unit holds Y at (0.0000, 0.0000, 0.0000), Hf at (0.0000, 0.1711, 0.5000), Hf at (0.0000, 0.3278, 0.0000) and Hf at (0.0000, 0.5000, 0.5000).

The mass density is 11.523 Mg/m³. The formation energy is 0.150 eV per atom. The total moment comes out at 0.0 μB per formula unit.

***

[25]
Below is crystalline YHf4 at its relaxed geometry, with properties calculated at the PBE-GGA level.

The structure belongs to space group Pm-3m (No. 221); the cell edges are 5.0767, 5.0767 and 5.0767 Å and the angles 90.00°, 90.00° and 90.00°. The asymmetric unit holds Y at (0.0000, 0.0000, 0.0000), Hf at (0.0000, 0.0000, 0.5000) and Hf at (0.5000, 0.5000, 0.5000).

The mass density is 10.189 Mg/m³. The formation energy is 1.540 eV per atom. The total moment comes out at 0.0 μB per formula unit.

***

[26]
Below is crystalline Y3Hf at its relaxed geometry, with properties calculated at the PBE-GGA level.

The structure belongs to space group Imm2 (No. 44); the cell edges are 3.5035, 10.9603 and 6.1121 Å and the angles 90.00°, 90.00° and 90.00°. The asymmetric unit holds Y at (0.0000, 0.0000, 0.0000), Y at (0.0000, 0.2410, 0.6559) and Hf at (0.0000, 0.5000, 0.9879).

The mass density is 6.300 Mg/m³. The formation energy is 0.121 eV per atom. The total moment comes out at 0.0 μB per formula unit.

***

[27]
Below is crystalline Y2Hf at its relaxed geometry, with properties calculated at the PBE-GGA level.

The structure belongs to space group I4/mmm (No. 139); the cell edges are 3.9604, 3.9604 and 10.8849 Å and the angles 90.00°, 90.00° and 90.00°. The asymmetric unit holds Y at (0.0000, 0.0000, 0.1539) and Hf at (0.0000, 0.0000, 0.5000).

The mass density is 6.931 Mg/m³. The formation energy is 0.280 eV per atom. The total moment comes out at 0.0 μB per formula unit.

***

[28]
Below is crystalline Y3Hf at its relaxed geometry, with properties calculated at the PBE-GGA level.

The structure belongs to space group Pm-3m (No. 221); the cell edges are 4.8707, 4.8707 and 4.8707 Å and the angles 90.00°, 90.00° and 90.00°. The asymmetric unit holds Y at (0.0000, 0.0000, 0.5000) and Hf at (0.5000, 0.5000, 0.5000).

The mass density is 6.398 Mg/m³. The formation energy is 0.160 eV per atom. The total moment comes out at 0.0 μB per formula unit.